{
  "formula": "Th6AsC3Se2",
  "functional": "GGA-PBE",
  "state": "relaxed",
  "lattice": [[3.9021, 0.0000, 0.0000], [0.0000, 8.2779, -0.0178], [-1.9511, -2.7186, 8.5095]],
  "species": ["Th", "Th", "Th", "Th", "Th", "Th", "As", "C", "C", "C", "Se", "Se"],
  "frac_coords": [[0.3241, 0.9449, 0.6482], [0.6546, 0.6110, 0.3091], [0.6759, 0.0551, 0.3518], [0.9903, 0.2730, 0.9805], [0.0097, 0.7270, 0.0195], [0.3454, 0.3890, 0.6909], [0.5000, 0.0000, 0.0000], [0.5000, 0.5000, 0.0000], [0.8339, 0.1680, 0.6677], [0.1661, 0.8320, 0.3323], [0.8317, 0.6643, 0.6634], [0.1683, 0.3357, 0.3366]],
  "m_tot_mub_per_cell": 0.00,
  "formation_energy_uncorrected_ev_per_atom": -1.009,
  "volume_a3_per_fu": 275,
  "spacegroup": "C2/m (12)",
  "final_energy_ev_per_atom": -7.99
}